First-principles (PBE+U) data for a relaxed structure of K2NiAgF6, as listed in the Alexandria database.

Summary:
Density of states at the Fermi level ... 6.51 states/eV per cell
E ... -4.033 eV/atom

Cell and atoms, written as CIF:
```
data_K2NiAgF6
_chemical_formula_sum 'K8 Ni4 Ag4 F24'
_space_group_name_H-M_alt 'F m -3 m'
_space_group_IT_number 225
_space_group_name_Hall '-F 4 2 3'
_cell_length_a 8.462
_cell_length_b 8.462
_cell_length_c 8.462
_cell_angle_alpha 90.00
_cell_angle_beta 90.00
_cell_angle_gamma 90.00
loop_
_atom_site_label
_atom_site_fract_x
_atom_site_fract_y
_atom_site_fract_z
K1 0.250 0.250 0.250
Ni1 0.000 0.000 0.000
Ag1 0.000 0.000 0.500
F1 0.000 0.000 0.235
```

First-principles (PBE+U) data for a relaxed structure of BaNaMnF6, as listed in the Alexandria database.

Summary:
Density of states at the Fermi level ... 0.00 states/eV per cell
E ... -5.340 eV/atom

Cell and atoms, written as CIF:
```
data_BaNaMnF6
_chemical_formula_sum 'Ba1 Na1 Mn1 F6'
_space_group_name_H-M_alt 'P 1'
_space_group_IT_number 1
_cell_length_a 5.450
_cell_length_b 5.647
_cell_length_c 5.649
_cell_angle_alpha 119.84
_cell_angle_beta 90.02
_cell_angle_gamma 90.10
loop_
_space_group_symop_operation_xyz
'x,y,z'
loop_
_atom_site_label
_atom_site_fract_x
_atom_site_fract_y
_atom_site_fract_z
Ba1 0.000 0.000 0.000
Na1 0.500 0.334 0.668
Mn1 0.500 0.667 0.333
F1 0.294 0.954 0.608
F2 0.296 0.657 0.047
F3 0.298 0.391 0.342
F4 0.701 0.952 0.342
F5 0.705 0.390 0.047
F6 0.705 0.656 0.608
```

- density of states at the Fermi level of number 1 (K2NiAgF6)?
  6.51 states/eV per cell

What did the second record say?
First-principles (PBE+U) data for a relaxed structure of BaNaMnF6, as listed in the Alexandria database.

Summary:
Density of states at the Fermi level ... 0.00 states/eV per cell
E ... -5.340 eV/atom

Cell and atoms, written as CIF:
```
data_BaNaMnF6
_chemical_formula_sum 'Ba1 Na1 Mn1 F6'
_space_group_name_H-M_alt 'P 1'
_space_group_IT_number 1
_cell_length_a 5.450
_cell_length_b 5.647
_cell_length_c 5.649
_cell_angle_alpha 119.84
_cell_angle_beta 90.02
_cell_angle_gamma 90.10
loop_
_space_group_symop_operation_xyz
'x,y,z'
loop_
_atom_site_label
_atom_site_fract_x
_atom_site_fract_y
_atom_site_fract_z
Ba1 0.000 0.000 0.000
Na1 0.500 0.334 0.668
Mn1 0.500 0.667 0.333
F1 0.294 0.954 0.608
F2 0.296 0.657 0.047
F3 0.298 0.391 0.342
F4 0.701 0.952 0.342
F5 0.705 0.390 0.047
F6 0.705 0.656 0.608
```

- Among the records above, which one has the highest E?
  K2NiAgF6